Record 1
3
Lattice="3.307 0.000 0.000 0.000 4.767 0.000 0.000 -2.383 4.128" Properties=species:S:1:pos:R:3 comment="HoPaTc (PBE, optimized geometry)" energy_ha_per_atom=-0.297 delta_e_f_mev_per_atom=60.9 relative_energy_mev_per_atom=217.0 pbc="T T T"
Tc 0.148 0.000 0.000
Ho 2.250 0.000 2.752
Pa 0.909 2.383 1.376

---

Record 2
6
Lattice="3.490 0.000 0.000 0.000 4.917 -1.628 0.000 -0.326 7.255" Properties=species:S:1:pos:R:3 comment="HoPa2Tc3 (PBE, optimized geometry)" energy_ha_per_atom=-0.343 delta_e_f_mev_per_atom=-223.5 relative_energy_mev_per_atom=0.0 pbc="T T T"
Ho 0.000 0.000 0.000
Tc 1.745 3.809 3.265
Tc 1.745 0.782 2.362
Tc 1.745 2.459 -0.814
Pa 0.000 3.154 1.286
Pa 0.000 1.437 4.342

---

Record 3
7
Lattice="-1.130 -1.177 4.463 -2.982 -0.600 -3.440 4.540 -6.883 -3.193" Properties=species:S:1:pos:R:3 comment="Ho2Pa2Tc3 (PBE, optimized geometry)" energy_ha_per_atom=-0.318 delta_e_f_mev_per_atom=-201.4 pbc="T T T"
Pa -1.343 -2.083 1.643
Pa 1.771 -6.578 -3.812
Tc 0.000 0.000 0.000
Tc -1.836 -2.517 -1.122
Tc 2.264 -6.143 -1.048
Ho -0.648 -5.649 -1.650
Ho 1.077 -3.012 -0.520

---

Record 4
3
Lattice="3.468 0.000 0.000 0.000 3.468 0.000 -1.734 -1.734 5.630" Properties=species:S:1:pos:R:3 comment="HoPaTc (PBE, optimized geometry)" energy_ha_per_atom=-0.305 delta_e_f_mev_per_atom=-156.2 relative_energy_mev_per_atom=0.0 pbc="T T T"
Pa 0.000 0.000 3.434
Ho 0.000 0.000 0.067
Tc 1.734 1.734 2.130

---

Record 5
10
Lattice="3.445 0.000 0.000 0.000 3.445 0.000 0.000 0.000 17.207" Properties=species:S:1:pos:R:3 comment="HoPa4Tc5 (PBE, optimized geometry)" energy_ha_per_atom=-0.354 delta_e_f_mev_per_atom=-191.2 pbc="T T T"
Pa 0.000 0.000 3.414
Pa 0.000 0.000 13.793
Pa 0.000 0.000 6.896
Pa 0.000 0.000 10.310
Tc 1.723 1.723 12.059
Tc 1.723 1.723 5.147
Tc 1.723 1.723 15.231
Tc 1.723 1.723 1.975
Tc 1.723 1.723 8.603
Ho 0.000 0.000 0.000

---

Record 6
6
Lattice="-0.251 -4.884 -2.272 4.412 -3.091 -0.242 0.366 -4.422 3.065" Properties=species:S:1:pos:R:3 comment="HoPaTc4 (PBE, optimized geometry)" energy_ha_per_atom=-0.344 delta_e_f_mev_per_atom=-109.8 pbc="T T T"
Pa 0.000 0.000 0.000
Tc 2.828 -7.745 0.344
Tc 2.645 -5.539 -1.185
Tc 0.626 -6.203 0.465
Tc 2.953 -5.308 1.478
Ho 1.132 -3.099 0.138

---

Record 7
12
Lattice="-4.122 -2.202 0.701 3.326 -5.269 2.991 1.378 4.466 6.320" Properties=species:S:1:pos:R:3 comment="HoPa5Tc6 (PBE, optimized geometry)" energy_ha_per_atom=-0.357 delta_e_f_mev_per_atom=-188.8 pbc="T T T"
Pa -0.457 2.262 4.481
Pa 1.663 -2.635 1.496
Pa 1.207 -0.373 5.977
Pa 1.039 -5.267 5.531
Pa -0.625 -2.633 4.036
Tc 2.260 -2.777 4.604
Tc 0.347 -4.915 2.517
Tc 0.235 1.910 7.496
Tc 0.000 -2.886 6.916
Tc 0.583 -0.119 3.096
Tc -1.678 -0.229 5.409
Ho 0.000 0.000 0.000

---

Record 8
12
Lattice="4.900 0.000 0.234 2.450 7.133 0.117 0.258 0.000 6.906" Properties=species:S:1:pos:R:3 comment="Ho2PaTc3 (PBE, optimized geometry)" energy_ha_per_atom=-0.311 delta_e_f_mev_per_atom=-170.2 pbc="T T T"
Pa 4.900 4.809 0.234
Pa 2.450 2.324 0.117
Tc 2.463 4.643 5.472
Tc 4.913 2.490 5.590
Tc 5.146 2.490 1.785
Tc 2.695 4.643 1.668
Tc 2.639 0.000 5.426
Tc 2.520 0.000 1.714
Ho 2.579 2.353 3.570
Ho 0.000 0.000 0.000
Ho 0.129 0.000 3.453
Ho 5.029 4.780 3.687

---

Record 9
6
Lattice="3.455 0.000 0.000 0.000 3.455 0.000 0.000 0.000 10.291" Properties=species:S:1:pos:R:3 comment="HoPa2Tc3 (PBE, optimized geometry)" energy_ha_per_atom=-0.343 delta_e_f_mev_per_atom=-220.6 relative_energy_mev_per_atom=2.9 pbc="T T T"
Tc 0.000 0.000 7.125
Tc 0.000 0.000 3.165
Tc 0.000 0.000 0.000
Ho 1.727 1.727 5.145
Pa 1.727 1.727 8.538
Pa 1.727 1.727 1.753

---

Record 10
12
Lattice="5.198 0.000 0.000 2.599 4.501 0.000 2.599 1.500 9.169" Properties=species:S:1:pos:R:3 comment="HoPa2Tc9 (PBE, optimized geometry)" energy_ha_per_atom=-0.360 delta_e_f_mev_per_atom=-70.9 pbc="T T T"
Tc 5.198 3.001 0.082
Tc 6.519 3.764 6.925
Tc 5.198 3.001 9.087
Tc 3.876 3.764 6.925
Tc 3.876 2.238 2.245
Tc 5.198 4.527 2.245
Tc 6.520 2.238 2.245
Tc 5.198 1.475 6.925
Tc 5.198 3.001 4.585
Pa 7.797 4.501 4.023
Pa 2.599 1.500 5.146
Ho 0.000 0.000 0.000

---

Record 11
4
Lattice="-0.910 2.776 1.777 -2.548 -1.761 1.447 4.232 -1.901 5.136" Properties=species:S:1:pos:R:3 comment="HoPaTc2 (PBE, optimized geometry)" energy_ha_per_atom=-0.328 delta_e_f_mev_per_atom=-226.7 relative_energy_mev_per_atom=0.0 pbc="T T T"
Ho 0.387 -0.443 4.180
Pa -1.729 0.507 1.612
Tc 0.936 -0.420 1.136
Tc 3.296 -1.481 4.001

---

Record 12
8
Lattice="-4.738 0.614 1.302 -3.604 -0.887 -3.278 -3.092 -7.421 1.667" Properties=species:S:1:pos:R:3 comment="HoPa3Tc4 (PBE, optimized geometry)" energy_ha_per_atom=-0.350 delta_e_f_mev_per_atom=-203.5 pbc="T T T"
Tc -2.968 -4.520 0.746
Tc -5.824 -6.368 0.645
Tc -5.610 -1.326 -0.955
Tc -8.465 -3.174 -1.056
Pa -2.856 -1.869 -0.095
Pa -8.577 -5.825 -0.215
Pa -5.717 -3.847 -0.155
Ho 0.000 0.000 0.000

---

Record 13
4
Lattice="-1.618 2.912 -0.418 -2.437 -1.594 -1.671 -4.142 -1.261 7.242" Properties=species:S:1:pos:R:3 comment="HoPaTlTc (PBE, optimized geometry)" energy_ha_per_atom=-0.254 delta_e_f_mev_per_atom=-213.3 pbc="T T T"
Ho -5.258 -0.325 4.605
Pa -3.567 0.190 1.648
Tc -2.333 -0.711 4.080
Tl -0.287 -0.088 0.503

---

Record 14
4
Lattice="4.918 0.000 0.000 2.459 4.259 0.000 2.459 1.420 4.016" Properties=species:S:1:pos:R:3 comment="HoPaZnTc (PBE, optimized geometry)" energy_ha_per_atom=-0.240 delta_e_f_mev_per_atom=-96.3 pbc="T T T"
Zn 0.000 0.000 0.000
Ho 2.459 1.420 1.004
Pa 7.378 4.259 3.012
Tc 4.918 2.840 2.008

---

Record 15
6
Lattice="4.384 0.000 0.000 0.000 7.155 0.045 0.000 0.016 7.441" Properties=species:S:1:pos:R:3 comment="HoPaTe4 (PBE, optimized geometry)" energy_ha_per_atom=-0.201 relative_energy_mev_per_atom=0.0 pbc="T T T"
Ho 0.000 0.000 0.000
Te 0.000 5.417 4.947
Te 2.192 1.745 6.148
Te 2.192 5.426 1.338
Te 0.000 1.755 2.539
Pa 2.192 0.008 3.721

---

Record 16
10
Lattice="4.377 0.000 0.000 0.000 9.578 -0.020 0.000 -3.031 9.086" Properties=species:S:1:pos:R:3 comment="HoPa3Te6 (PBE, optimized geometry)" energy_ha_per_atom=-0.209 pbc="T T T"
Te 2.189 5.121 3.199
Te 0.000 2.882 0.909
Te 0.000 -0.044 3.022
Te 0.000 3.665 8.157
Te 2.189 1.427 5.867
Te 0.000 6.591 6.044
Pa 2.189 4.789 -0.010
Pa 2.189 -1.516 4.543
Pa 0.000 0.000 0.000
Ho 0.000 3.274 4.533

---

Record 17
14
Lattice="-1.253 3.758 -1.489 -2.676 -5.137 -4.698 -12.406 -0.931 8.085" Properties=species:S:1:pos:R:3 comment="Ho2PaTe4 (PBE, optimized geometry)" energy_ha_per_atom=-0.203 pbc="T T T"
Ho -10.064 -1.029 -0.142
Ho -1.712 -0.940 -0.930
Ho -6.270 -1.282 2.040
Ho -14.622 -1.371 2.828
Te -9.215 -2.038 2.611
Te -6.829 1.413 3.298
Te -3.365 -0.493 1.586
Te -7.119 -0.273 -0.713
Te -0.626 1.879 -0.745
Te -3.989 -0.038 -2.753
Te -12.346 -2.273 4.651
Te -12.969 -1.818 0.311
Pa -10.746 0.375 3.974
Pa -5.588 -2.686 -2.077

---

Record 18
4
Lattice="-0.997 0.223 3.611 -3.160 -1.877 -0.756 3.505 -6.450 1.365" Properties=species:S:1:pos:R:3 comment="HoPaTe2 (PBE, optimized geometry)" energy_ha_per_atom=-0.219 relative_energy_mev_per_atom=0.0 pbc="T T T"
Te 2.612 -4.806 1.017
Te 0.893 -1.644 0.348
Ho -2.078 -0.827 1.427
Pa -0.325 -4.052 2.110

---

Record 19
6
Lattice="-3.693 0.878 -2.392 0.644 -6.346 -3.323 -4.021 -3.189 5.039" Properties=species:S:1:pos:R:3 comment="HoPaTe4 (PBE, optimized geometry)" energy_ha_per_atom=-0.197 relative_energy_mev_per_atom=115.7 pbc="T T T"
Te -4.486 -3.686 1.366
Te -2.585 -4.972 -2.042
Te -2.714 -7.663 1.379
Te -4.357 -0.995 -2.055
Ho -1.689 -4.768 0.858
Pa -1.847 0.439 -1.196

---

Record 20
3
Lattice="3.643 0.000 0.000 0.000 5.159 0.000 0.000 -2.579 4.468" Properties=species:S:1:pos:R:3 comment="HoPaTe (PBE, optimized geometry)" energy_ha_per_atom=-0.215 pbc="T T T"
Pa 3.642 0.000 0.000
Ho 1.820 2.579 1.489
Te 1.825 0.000 2.979